(1)
A plane-wave DFT calculation with GGA-PBE was carried out for PrNd6Dy3Er2 after structural relaxation.

For the formation energy from the elements, the calculation gives 0.014 eV per atom. As for the magnetic moment: 0.00 μB/f.u.

The space group is C2/m (No. 12) and the conventional cell measures 6.283, 10.883 and 11.923 Å, with angles of 90.00, 100.10 and 90.00 degrees. The distinct sites, in fractional coordinates, are Pr at (0.000, 0.000, 0.000), Nd at (0.249, 0.333, 0.749), Nd at (0.250, 0.000, 0.749), Dy at (0.000, 0.167, 0.500), Dy at (0.000, 0.500, 0.500) and Er at (0.000, 0.333, 0.000).


(2)
A plane-wave DFT calculation with GGA-PBE was carried out for LiCaPmBi after structural relaxation.

For the formation energy from the elements, the calculation gives -0.367 eV per atom. As for the magnetic moment: 0.00 μB/f.u.

The space group is F-43m (No. 216) and the conventional cell measures 7.710, 7.710 and 7.710 Å, with angles of 90.00, 90.00 and 90.00 degrees. The distinct sites, in fractional coordinates, are Li at (0.000, 0.000, 0.000), Ca at (0.250, 0.250, 0.250), Pm at (0.250, 0.250, 0.750) and Bi at (0.000, 0.000, 0.500).


(3)
A plane-wave DFT calculation with GGA-PBE was carried out for Y3Ho4Tm4 after structural relaxation.

For the formation energy from the elements, the calculation gives 0.177 eV per atom. For the energy relative to the lowest polymorph listed for this composition, the calculation gives 25 meV per atom. As for the magnetic moment: 0.22 μB/f.u.

The space group is Immm (No. 71) and the conventional cell measures 3.524, 11.101 and 18.025 Å, with angles of 90.00, 90.00 and 90.00 degrees. The distinct sites, in fractional coordinates, are Y at (0.000, 0.000, 0.000), Y at (0.000, 0.500, 0.110), Ho at (0.000, 0.000, 0.219), Ho at (0.000, 0.206, 0.500) and Tm at (0.000, 0.259, 0.329).


(4)
A plane-wave DFT calculation with GGA-PBE was carried out for La2NiAsIr after structural relaxation.

For the formation energy from the elements, the calculation gives -0.129 eV per atom. As for the magnetic moment: 0.00 μB/f.u.

The space group is P4/mmm (No. 123) and the conventional cell measures 5.658, 5.658 and 4.202 Å, with angles of 90.00, 90.00 and 90.00 degrees. The distinct sites, in fractional coordinates, are La at (0.000, 0.500, 0.000), Ni at (0.000, 0.000, 0.500), As at (0.000, 0.000, 0.000) and Ir at (0.500, 0.500, 0.500).